First-principles (PBE) data for an optimized crystal structure of Dy6Ge3P2Se, as listed in Alexandria.

Output
total DFT energy (no corrections) = -5.872 eV/atom
formation energy (no corrections) = -1225 meV per atom

abc: 3.9817 8.3912 9.2634
angles: 106.23 102.41 90.00
Closest atoms and distances in Å follow each position.
Fractional positions:
Se  0.5000  0.0000  0.0000  6 Dy 2.90-2.91
Dy  0.6702  0.5734  0.3403  3 P 2.83, 3 Ge 2.96-2.97
Dy  0.3298  0.4266  0.6597  3 P 2.83, 3 Ge 2.96-2.97
Dy  0.3325  0.9053  0.6649  2 P 2.82, 1 Se 2.91, 3 Ge 2.92-2.96
Dy  0.6675  0.0947  0.3351  2 P 2.82, 1 Se 2.91, 3 Ge 2.92-2.96
Dy  0.9960  0.7459  0.9920  1 P 2.82, 3 Ge 2.88-2.93, 2 Se 2.90
Dy  0.0040  0.2541  0.0080  1 P 2.82, 3 Ge 2.88-2.93, 2 Se 2.90
P  0.1664  0.3320  0.3329  6 Dy 2.82-2.83
P  0.8336  0.6680  0.6671  6 Dy 2.82-2.83
Ge  0.1647  0.8321  0.3293  6 Dy 2.92-2.97
Ge  0.5000  0.5000  0.0000  6 Dy 2.88-2.96
Ge  0.8353  0.1679  0.6707  6 Dy 2.92-2.97

First-principles (PBE) data for an optimized crystal structure of Li3TbSm2S6, as listed in Alexandria.

Output
total DFT energy (no corrections) = -5.532 eV/atom
formation energy (no corrections) = -1818 meV per atom

abc: 6.8986 6.8986 6.6048
angles: 100.01 100.01 120.01
Closest atoms and distances in Å follow each position.
Fractional positions:
S  0.2448  0.2448  0.7472  3 Li 2.73-2.79, 1 Tb 2.76, 2 Sm 2.80
S  0.4134  0.0845  0.2538  3 Li 2.75-2.81, 1 Tb 2.76, 2 Sm 2.80
S  0.7552  0.7552  0.2528  3 Li 2.73-2.79, 1 Tb 2.76, 2 Sm 2.80
S  0.5866  0.9155  0.7462  3 Li 2.75-2.81, 1 Tb 2.76, 2 Sm 2.80
S  0.0845  0.4134  0.2538  3 Li 2.75-2.81, 1 Tb 2.76, 2 Sm 2.80
S  0.9155  0.5866  0.7462  3 Li 2.75-2.81, 1 Tb 2.76, 2 Sm 2.80
Sm  0.6669  0.3331  0.0000  6 S 2.80
Sm  0.3331  0.6669  0.0000  6 S 2.80
Li  0.1642  0.8358  0.5000  6 S 2.73-2.81
Li  0.8358  0.1642  0.5000  6 S 2.73-2.81
Li  0.5000  0.5000  0.5000  6 S 2.75-2.79
Tb  0.0000  0.0000  0.0000  6 S 2.76

First-principles (PBE) data for an optimized crystal structure of TbPrSm2Dy, as listed in Alexandria.

Output
E_form = 279 meV per atom
total DFT energy (no corrections) = -4.411 eV/atom

abc: 6.6206 8.3869 6.2394
angles: 93.22 90.00 90.00
Closest atoms and distances in Å follow each position.
Fractional positions:
Dy  0.8378  0.5000  0.2500  8 Sm 3.51-3.84, 2 Dy 3.79
Dy  0.1622  0.5000  0.7500  8 Sm 3.51-3.84, 2 Dy 3.79
Sm  0.3100  0.3090  0.2323  1 Tb 3.12, 1 Sm 3.20
Sm  0.3100  0.6910  0.2677  1 Tb 3.12, 1 Sm 3.20
Sm  0.6900  0.6910  0.7677  1 Tb 3.12, 1 Sm 3.20
Sm  0.6900  0.3090  0.7323  1 Tb 3.12, 1 Sm 3.20
Tb  0.5692  0.0000  0.2500  2 Sm 3.12, 2 Pr 3.25, 2 Tb 3.25
Tb  0.4308  0.0000  0.7500  2 Sm 3.12, 2 Pr 3.25, 2 Tb 3.25
Pr  0.0000  0.0000  0.5000  2 Pr 3.12, 2 Tb 3.25
Pr  0.0000  0.0000  0.0000  2 Pr 3.12, 2 Tb 3.25

First-principles (PBE) data for an optimized crystal structure of Ag2GeBr2, as listed in Alexandria.

Output
total DFT energy (no corrections) = -2.609 eV/atom
formation energy (no corrections) = 124 meV per atom

abc: 3.7213 3.7213 10.7419
angles: 80.03 80.03 90.00
Closest atoms and distances in Å follow each position.
Fractional positions:
Ge  0.0000  0.0000  0.0000  8 Br 3.11
Ag  0.2500  0.7500  0.5000  4 Ag 2.63
Ag  0.7500  0.2500  0.5000  4 Ag 2.63
Br  0.4205  0.4205  0.1589  4 Ge 3.11, 1 Br 3.31
Br  0.5795  0.5795  0.8411  4 Ge 3.11, 1 Br 3.31

First-principles (PBE) data for an optimized crystal structure of Cs2YGeSe4, as listed in Alexandria.

Output
total DFT energy (no corrections) = -4.413 eV/atom
formation energy (no corrections) = -1072 meV per atom

abc: 6.7488 8.2738 13.6735
angles: 84.22 75.71 65.93
Closest atoms and distances in Å follow each position.
Fractional positions:
Y  0.0000  0.0000  0.0000  4 Se 2.71
Y  0.7500  0.5000  0.5000  4 Se 2.71
Ge  0.2500  0.5000  0.5000  4 Se 2.56
Ge  0.5000  0.0000  0.0000  4 Se 2.56
Se  0.5286  0.3036  0.6037  1 Ge 2.56, 1 Y 2.71
Se  0.1677  0.3036  0.3963  1 Ge 2.56, 1 Y 2.71
Se  0.4359  0.6964  0.3963  1 Ge 2.56, 1 Y 2.71
Se  0.2214  0.1964  0.8963  1 Ge 2.56, 1 Y 2.71
Se  0.5823  0.1964  0.1037  1 Ge 2.56, 1 Y 2.71
Se  0.3141  0.8036  0.1037  1 Ge 2.56, 1 Y 2.71
Se  0.8823  0.8036  0.8963  1 Ge 2.56, 1 Y 2.71
Se  0.8677  0.6964  0.6037  1 Ge 2.56, 1 Y 2.71
Cs  0.5695  0.5000  0.8609  8 Se 3.95-4.21
Cs  0.8195  0.0000  0.3609  8 Se 3.95-4.21
Cs  0.9305  0.5000  0.1391  8 Se 3.95-4.21
Cs  0.1805  0.0000  0.6391  8 Se 3.95-4.21

First-principles (PBE) data for an optimized crystal structure of Nd8HgAu2, as listed in Alexandria.

Output
E_form = -352 meV per atom
total DFT energy (no corrections) = -4.443 eV/atom

abc: 5.2736 7.1799 9.8132
angles: 107.18 105.59 90.00
Closest atoms and distances in Å follow each position.
Fractional positions:
Au  0.1766  0.7348  0.3532  5 Nd 2.94-3.23
Au  0.8234  0.2652  0.6468  5 Nd 2.94-3.23
Nd  0.9752  0.2316  0.9504  1 Au 2.95, 2 Hg 3.23
Nd  0.8014  0.6605  0.6028  1 Au 2.99
Nd  0.1986  0.3395  0.3972  1 Au 2.99
Nd  0.5921  0.4723  0.1842  1 Hg 3.30, 2 Au 3.35, 6 Nd 3.53-3.62
Nd  0.6717  0.9911  0.3434  3 Au 2.94-3.23, 1 Hg 3.27
Nd  0.3283  0.0089  0.6566  3 Au 2.94-3.23, 1 Hg 3.27
Nd  0.0248  0.7684  0.0496  1 Au 2.95, 2 Hg 3.23
Nd  0.4079  0.5277  0.8158  1 Hg 3.30, 2 Au 3.35, 6 Nd 3.53-3.62
Hg  0.5000  0.0000  0.0000  8 Nd 3.23-3.30

First-principles (PBE) data for an optimized crystal structure of Na3Pm2ScO6, as listed in Alexandria.

Output
total DFT energy (no corrections) = -6.820 eV/atom
formation energy (no corrections) = -2691 meV per atom

abc: 5.9617 5.9617 5.9137
angles: 99.41 99.41 120.17
Closest atoms and distances in Å follow each position.
Fractional positions:
Pm  0.3327  0.6673  0.0000  6 O 2.37
Pm  0.6673  0.3327  0.0000  6 O 2.37
Na  0.8459  0.1541  0.5000  4 O 2.44-2.49
Na  0.1541  0.8459  0.5000  4 O 2.44-2.49
Na  0.5000  0.5000  0.5000  6 O 2.52-2.65
O  0.3789  0.0690  0.2112  1 Sc 2.19, 2 Pm 2.37
O  0.6211  0.9310  0.7888  1 Sc 2.19, 2 Pm 2.37
O  0.7570  0.7570  0.2080  1 Sc 2.18, 2 Pm 2.37, 2 Na 2.44
O  0.0690  0.3789  0.2112  1 Sc 2.19, 2 Pm 2.37
O  0.2430  0.2430  0.7920  1 Sc 2.18, 2 Pm 2.37, 2 Na 2.44
O  0.9310  0.6211  0.7888  1 Sc 2.19, 2 Pm 2.37
Sc  0.0000  0.0000  0.0000  6 O 2.18-2.19

First-principles (PBE) data for an optimized crystal structure of YPuTl2Se4, as listed in Alexandria.

Output
total DFT energy (no corrections) = -6.174 eV/atom
formation energy (no corrections) = -1241 meV per atom

abc: 4.2198 7.3187 8.1048
angles: 107.50 90.00 90.00
Closest atoms and distances in Å follow each position.
Fractional positions:
Se  0.0000  0.2682  0.7947  2 Y 2.90, 1 Pu 2.93
Se  0.5000  0.7637  0.7961  1 Y 2.89, 2 Pu 2.91
Se  0.5000  0.2363  0.2039  1 Y 2.89, 2 Pu 2.91
Se  0.0000  0.7318  0.2053  2 Y 2.90, 1 Pu 2.93
Tl  0.0000  0.5000  0.5000  6 Se 3.32-3.34
Tl  0.5000  0.0000  0.5000  6 Se 3.35
Y  0.5000  0.5000  0.0000  6 Se 2.89-2.90
Pu  0.0000  0.0000  0.0000  6 Se 2.91-2.93

First-principles (PBE) data for an optimized crystal structure of ZrMo3, as listed in Alexandria.

Output
E_form = 250 meV per atom
total DFT energy (no corrections) = -10.010 eV/atom

abc: 10.0441 10.0441 10.0441
angles: 158.18 158.18 31.05
Closest atoms and distances in Å follow each position.
Fractional positions:
Mo  0.0000  0.5000  0.5000  4 Mo 2.69
Mo  0.5000  0.0000  0.5000  4 Mo 2.69
Mo  0.7500  0.2500  0.5000  4 Mo 2.69
Mo  0.1274  0.1274  0.0000  4 Zr 2.69
Mo  0.8726  0.8726  0.0000  4 Zr 2.69
Mo  0.2500  0.7500  0.5000  4 Mo 2.69
Zr  0.6241  0.6241  0.0000  4 Mo 2.69
Zr  0.3759  0.3759  0.0000  4 Mo 2.69

First-principles (PBE) data for an optimized crystal structure of YCu2Tc2, as listed in Alexandria.

Output
E_form = 252 meV per atom
total DFT energy (no corrections) = -6.826 eV/atom

abc: 7.6033 7.6033 2.8223
angles: 90.00 90.00 90.00
Closest atoms and distances in Å follow each position.
Fractional positions:
Tc  0.1083  0.3917  0.0000  1 Tc 2.33
Tc  0.8917  0.6083  0.0000  1 Tc 2.33
Tc  0.6083  0.1083  0.0000  1 Tc 2.33
Tc  0.3917  0.8917  0.0000  1 Tc 2.33
Y  0.0000  0.0000  0.0000  2 Y 2.82, 4 Tc 3.09, 8 Cu 3.12
Y  0.5000  0.5000  0.0000  2 Y 2.82, 4 Tc 3.09, 8 Cu 3.12
Cu  0.6833  0.8167  0.5000  6 Tc 2.65-2.69, 2 Cu 2.82
Cu  0.8167  0.3167  0.5000  6 Tc 2.65-2.69, 2 Cu 2.82
Cu  0.3167  0.1833  0.5000  6 Tc 2.65-2.69, 2 Cu 2.82
Cu  0.1833  0.6833  0.5000  6 Tc 2.65-2.69, 2 Cu 2.82

First-principles (PBE) data for an optimized crystal structure of ScTcC2, as listed in Alexandria.

Output
E_form = 198 meV per atom
total DFT energy (no corrections) = -8.588 eV/atom

abc: 4.8121 4.8121 5.9469
angles: 66.13 66.13 90.00
Closest atoms and distances in Å follow each position.
Fractional positions:
Tc  0.0000  0.0000  0.0000  4 C 1.96
Tc  0.7500  0.2500  0.5000  4 C 1.96
Sc  0.2500  0.7500  0.5000  4 C 2.25
Sc  0.5000  0.5000  0.0000  4 C 2.25
C  0.8750  0.9279  0.7500  2 Tc 1.96
C  0.0721  0.6250  0.2500  2 Tc 1.96
C  0.3750  0.3221  0.7500  2 Tc 1.96
C  0.6779  0.1250  0.2500  2 Tc 1.96

First-principles (PBE) data for an optimized crystal structure of Pa3Al9Re2, as listed in Alexandria.

Output
E_form = -318 meV per atom
total DFT energy (no corrections) = -6.537 eV/atom

abc: 4.4405 8.0580 8.0580
angles: 72.63 74.01 74.01
Closest atoms and distances in Å follow each position.
Fractional positions:
Re  0.5000  0.6671  0.3329  8 Al 2.60-2.75
Re  0.5000  0.3329  0.6671  8 Al 2.60-2.75
Al  0.8726  0.4093  0.8455  4 Al 2.60-2.83, 2 Re 2.75
Al  0.0000  0.5000  0.5000  4 Al 2.60, 4 Re 2.73
Al  0.6496  0.9888  0.7119  1 Re 2.60, 4 Al 2.62-2.83
Al  0.1274  0.5907  0.1545  4 Al 2.60-2.83, 2 Re 2.75
Al  0.3504  0.2881  0.0112  1 Re 2.60, 4 Al 2.62-2.83
Al  0.3504  0.0112  0.2881  1 Re 2.60, 4 Al 2.62-2.83
Al  0.8726  0.8455  0.4093  4 Al 2.60-2.83, 2 Re 2.75
Al  0.6496  0.7119  0.9888  1 Re 2.60, 4 Al 2.62-2.83
Al  0.1274  0.1545  0.5907  4 Al 2.60-2.83, 2 Re 2.75
Pa  0.0000  0.0000  0.0000  12 Al 3.11-3.16
Pa  0.7012  0.2988  0.2988  2 Re 2.93, 8 Al 3.16-3.17
Pa  0.2988  0.7012  0.7012  2 Re 2.93, 8 Al 3.16-3.17